Below is SrInRh3 at its PBEsol-relaxed geometry, with properties calculated at the meta-GGA SCAN level.

The structure in extended XYZ format:
```
5
Lattice="4.8764 0.0000 0.0000 0.0000 4.8764 0.0000 0.0000 0.0000 4.8764" Properties=species:S:1:pos:R:3 pbc="T T T"
Sr 0.0000 0.0000 0.0000
In 2.4382 2.4382 2.4382
Rh 0.0000 2.4382 2.4382
Rh 2.4382 0.0000 2.4382
Rh 2.4382 2.4382 0.0000
```

Results
Calculated volume, Å³/f.u.: 115.96
Spin magnetization, μB per cell: 1.5
E_form, eV/atom: 0.56
SG: No. 221